1.
Nd2DyTmTe6 | PBE | relaxed

Results
Formation energy from raw total energies = -1.36 eV per atom
SG = No. 146

Cell lengths 7.8194, 7.8195, 8.3713 Å; angles 62.17, 62.17, 60.00 degrees
Element x y z (fractional)
Dy 0.3240 0.3240 0.0280
Te 0.0934 0.4356 0.7554
Tm 0.8240 0.8240 0.5280
Nd 0.5140 0.5140 0.4579
Te 0.9337 0.5956 0.2588
Te 0.5956 0.2119 0.2588
Te 0.4356 0.7155 0.7555
Te 0.2119 0.9337 0.2588
Nd 0.0138 0.0138 0.9586
Te 0.7156 0.0934 0.7554

***

2.
AgSnRu2 | PBE | relaxed

Results
SG = No. 122
Energy of formation = 0.71 eV/atom

Cell lengths 7.4165, 7.4165, 5.8705 Å; angles 50.83, 50.83, 90.00 degrees
Element x y z (fractional)
Ru 0.3750 0.3632 0.7500
Ru 0.8750 0.8868 0.7500
Ru 0.1132 0.6250 0.2500
Ag 0.2500 0.7500 0.5000
Sn 0.0000 0.0000 0.0000
Ag 0.5000 0.5000 0.0000
Ru 0.6368 0.1250 0.2500
Sn 0.7500 0.2500 0.5000

***

3.
Li2AsCBr | PBE | relaxed

Results
Formation energy from raw total energies = 1.11 eV per atom
SG = No. 123

Cell lengths 4.9444, 5.3272, 4.9444 Å; angles 90.00, 90.00, 90.00 degrees
Last column: magnetic moment on the atom in μB.
Element x y z (fractional)
C 0.5000 0.5000 0.5000  1.00
Li 0.5000 0.0000 0.0000  0.00
Br 0.0000 0.5000 0.0000  -0.10
As 0.0000 0.0000 0.0000  -0.02
Li 0.0000 0.0000 0.5000  -0.01

***

4.
Tm5TlCu | PBE | relaxed

Results
SG = No. 15
Energy of formation = 0.00 eV/atom

Cell lengths 6.4294, 6.4294, 11.1970 Å; angles 75.33, 75.33, 61.15 degrees
Element x y z (fractional)
Tm 0.0333 0.9667 0.7500
Tl 0.4484 0.5516 0.2500
Tm 0.6107 0.9315 0.6405
Tm 0.0685 0.3893 0.8595
Tm 0.9667 0.0333 0.2500
Tm 0.5210 0.2182 0.0513
Cu 0.0000 0.0000 0.0000
Tm 0.4790 0.7818 0.9487
Tm 0.2182 0.5210 0.5513
Tm 0.9315 0.6107 0.1405
Cu 0.0000 0.0000 0.5000
Tl 0.5516 0.4484 0.7500
Tm 0.7818 0.4790 0.4487
Tm 0.3893 0.0685 0.3595

***

5.
Sr2CePO8 | PBE | relaxed

Results
Formation energy from raw total energies = -1.98 eV per atom
SG = No. 164

Cell lengths 5.5238, 5.5238, 6.0411 Å; angles 90.00, 90.00, 120.00 degrees
Last column: magnetic moment on the atom in μB.
Element x y z (fractional)
O 0.1433 0.8567 0.1713  0.12
O 0.1433 0.2865 0.1713  0.12
Sr 0.3333 0.6667 0.8798  0.04
Ce 0.0000 0.0000 0.5000  -0.13
O 0.7135 0.8567 0.1713  0.12
P 0.0000 0.0000 0.0000  0.00
O 0.3333 0.6667 0.5004  0.92
O 0.8567 0.7135 0.8287  0.12
O 0.8567 0.1433 0.8287  0.12
Sr 0.6667 0.3333 0.1202  0.04
O 0.2865 0.1433 0.8287  0.12
O 0.6667 0.3333 0.4996  0.92

***

6.
TaSiSn3 | PBE | relaxed

Results
Formation energy from raw total energies = 1.23 eV per atom
Relative energy among the computed polymorphs = 361 meV/atom
SG = No. 221

Cell lengths 5.0607, 5.0607, 5.0607 Å; angles 90.00, 90.00, 90.00 degrees
Element x y z (fractional)
Si 0.0000 0.0000 0.0000
Sn 0.0000 0.5000 0.0000
Sn 0.5000 0.0000 0.0000
Ta 0.5000 0.5000 0.5000
Sn 0.0000 0.0000 0.5000

***

7.
KCd3InHg6 | PBE | relaxed

Results
SG = No. 146
Energy of formation = -0.07 eV/atom

Cell lengths 6.7380, 6.7380, 6.7380 Å; angles 90.68, 89.32, 90.68 degrees
Element x y z (fractional)
Hg 0.4080 0.1792 0.1358
In 0.0427 0.9573 0.0427
Hg 0.8208 0.8642 0.4080
K 0.6125 0.3875 0.6125
Cd 0.4852 0.6375 0.1239
Hg 0.1358 0.5920 0.8208
Cd 0.3625 0.8761 0.4852
Hg 0.1019 0.1739 0.6512
Cd 0.1239 0.5148 0.3625
Hg 0.8261 0.3488 0.1019
Hg 0.6512 0.8981 0.8261

***

8.
Rb3MnAg | PBE | relaxed

Results
Relative energy among the computed polymorphs = 0 meV/atom
SG = No. 221
Energy of formation = 0.67 eV/atom

Cell lengths 6.7599, 6.7599, 6.7599 Å; angles 90.00, 90.00, 90.00 degrees
Last column: magnetic moment on the atom in μB.
Element x y z (fractional)
Rb 0.0000 0.5000 0.0000  -0.01
Ag 0.0000 0.0000 0.0000  -0.01
Rb 0.0000 0.0000 0.5000  -0.01
Mn 0.5000 0.5000 0.5000  4.34
Rb 0.5000 0.0000 0.0000  -0.01

***

9.
PuAlO4 | PBE | relaxed

Results
Formation energy from raw total energies = -2.72 eV per atom
SG = No. 88

Cell lengths 5.0255, 5.0255, 6.4273 Å; angles 113.01, 113.01, 90.00 degrees
Last column: magnetic moment on the atom in μB.
Element x y z (fractional)
O 0.1564 0.2412 0.8316  -0.12
O 0.3404 0.4064 0.3316  -0.12
O 0.9912 0.9252 0.3316  -0.12
O 0.6752 0.5904 0.8316  -0.12
O 0.4096 0.8436 0.1684  -0.12
Al 0.2500 0.7500 0.5000  0.00
Pu 0.7500 0.2500 0.5000  3.52
Al 0.5000 0.5000 0.0000  0.00
O 0.0748 0.6596 0.6684  -0.12
Pu 0.0000 0.0000 0.0000  3.52
O 0.5936 0.0088 0.6684  -0.12
O 0.7588 0.3248 0.1684  -0.12

***

10.
Cs3PmBi2Se6 | PBE | relaxed

Results
Formation energy from raw total energies = -1.10 eV per atom
SG = No. 12

Cell lengths 7.6044, 7.6044, 8.7528 Å; angles 98.32, 98.32, 119.99 degrees
Element x y z (fractional)
Se 0.6041 0.9364 0.8092
Bi 0.6665 0.3335 0.0000
Pm 0.0000 0.0000 0.0000
Cs 0.1677 0.8323 0.5000
Se 0.3959 0.0636 0.1908
Se 0.7314 0.7314 0.1910
Bi 0.3335 0.6665 0.0000
Cs 0.8323 0.1677 0.5000
Se 0.9364 0.6041 0.8092
Se 0.2686 0.2686 0.8090
Se 0.0636 0.3959 0.1908
Cs 0.5000 0.5000 0.5000

***

11.
TiFeSi | PBE | relaxed

Results
Formation energy from raw total energies = -0.71 eV per atom
SG = No. 189

Cell lengths 3.5082, 6.2025, 6.2025 Å; angles 120.00, 90.00, 90.00 degrees
Element x y z (fractional)
Ti 0.5000 0.5795 0.0000
Fe 0.0000 0.7561 0.7561
Fe 0.0000 0.0000 0.2439
Fe 0.0000 0.2439 0.0000
Ti 0.5000 0.4205 0.4205
Ti 0.5000 0.0000 0.5795
Si 0.5000 0.0000 0.0000
Si 0.0000 0.3333 0.6667
Si 0.0000 0.6667 0.3333

***

12.
LiLa2InCo | PBE | relaxed

Results
Relative energy among the computed polymorphs = 50 meV/atom
SG = No. 123
Energy of formation = -0.13 eV/atom

Cell lengths 5.2120, 5.2120, 4.9264 Å; angles 90.00, 90.00, 90.00 degrees
Element x y z (fractional)
Li 0.0000 0.0000 0.5000
In 0.5000 0.5000 0.5000
La 0.5000 0.0000 0.0000
Co 0.0000 0.0000 0.0000
La 0.0000 0.5000 0.0000

***

13.
U4TeSe5 | PBE | relaxed

Results
Formation energy from raw total energies = -0.96 eV per atom
SG = No. 12

Cell lengths 4.0785, 8.6889, 9.2329 Å; angles 103.84, 102.76, 90.00 degrees
Last column: magnetic moment on the atom in μB.
Element x y z (fractional)
Se 0.1641 0.3184 0.3282  -0.07
Se 0.1617 0.8526 0.3234  -0.07
Se 0.5000 0.5000 0.0000  -0.08
Se 0.8383 0.1474 0.6766  -0.07
U 0.0028 0.2686 0.0055  2.65
U 0.9972 0.7314 0.9945  2.65
U 0.3237 0.9013 0.6474  2.59
Se 0.8359 0.6816 0.6718  -0.07
U 0.6763 0.0987 0.3526  2.59
Te 0.5000 0.0000 0.0000  -0.06

***

14.
NdSm3Hg2 | PBE | relaxed

Results
Relative energy among the computed polymorphs = 85 meV/atom
SG = No. 12
Energy of formation = -0.25 eV/atom

Cell lengths 5.4555, 9.6118, 9.0392 Å; angles 125.23, 90.00, 106.49 degrees
Element x y z (fractional)
Hg 0.5136 0.0273 0.8581
Sm 0.0619 0.1237 0.4009
Nd 0.1322 0.2643 0.0740
Sm 0.6934 0.3869 0.3817
Sm 0.6198 0.2395 0.7065
Hg 0.7750 0.5500 0.1513
Nd 0.8678 0.7357 0.9260
Sm 0.3066 0.6131 0.6183
Hg 0.4864 0.9727 0.1419
Sm 0.3802 0.7605 0.2935
Hg 0.2250 0.4500 0.8487
Sm 0.9381 0.8763 0.5991

***

15.
SiHg2H | PBE | relaxed

Results
Relative energy among the computed polymorphs = 0 meV/atom
SG = No. 122

Cell lengths 5.0625, 5.0625, 7.1323 Å; angles 69.21, 69.21, 90.00 degrees
Element x y z (fractional)
Hg 0.5532 0.1250 0.2500
H 0.5000 0.5000 0.0000
Hg 0.1968 0.6250 0.2500
Si 0.7500 0.2500 0.5000
Si 0.0000 0.0000 0.0000
Hg 0.3750 0.4468 0.7500
Hg 0.8750 0.8032 0.7500
H 0.2500 0.7500 0.5000

***

16.
Na5B7C3 | PBE | relaxed

Results
Relative energy among the computed polymorphs = 9 meV/atom
SG = No. 8
Energy of formation = 0.12 eV/atom

Cell lengths 11.5915, 11.5915, 9.9895 Å; angles 107.06, 107.06, 14.05 degrees
Element x y z (fractional)
Na 0.9988 0.9988 0.0013
B 0.3204 0.3204 0.3902
Na 0.4004 0.4004 0.8014
Na 0.5014 0.5014 0.4980
B 0.7143 0.7143 0.1777
C 0.1127 0.1127 0.9758
Na 0.7009 0.7009 0.8975
B 0.9910 0.9910 0.7329
B 0.0824 0.0824 0.4164
B 0.8166 0.8166 0.8820
B 0.5822 0.5822 0.9156
C 0.4792 0.4792 0.2063
B 0.0108 0.0108 0.2710
B 0.6231 0.6231 0.4982
C 0.8820 0.8820 0.0114
Na 0.9006 0.9006 0.2989
B 0.4136 0.4136 0.0754
Na 0.1013 0.1013 0.6997
B 0.9241 0.9241 0.5974
B 0.2194 0.2194 0.6900
C 0.2844 0.2844 0.8187
Na 0.3001 0.3001 0.0971
C 0.5198 0.5198 0.7919
Na 0.8009 0.8009 0.6028
Na 0.5976 0.5976 0.2040
Na 0.1997 0.1997 0.4025
B 0.1727 0.1727 0.0954
C 0.6868 0.6868 0.6260
B 0.7779 0.7779 0.3049
B 0.3851 0.3851 0.5195

***

17.
MgZrB3 | PBE | relaxed

Results
Relative energy among the computed polymorphs = 0 meV/atom
SG = No. 221
Energy of formation = 1.45 eV/atom

Cell lengths 4.4051, 4.4051, 4.4051 Å; angles 90.00, 90.00, 90.00 degrees
Element x y z (fractional)
Zr 0.0000 0.0000 0.0000
Mg 0.5000 0.5000 0.5000
B 0.0000 0.0000 0.5000
B 0.5000 0.0000 0.0000
B 0.0000 0.5000 0.0000

***

18.
Ac6NdSm3 | PBE | relaxed

Results
SG = No. 148
Energy of formation = 0.11 eV/atom

Cell lengths 10.3222, 10.3222, 10.3222 Å; angles 110.53, 110.53, 110.53 degrees
Element x y z (fractional)
Ac 0.9037 0.2677 0.8441
Sm 0.7170 0.8368 0.5482
Ac 0.0963 0.7323 0.1559
Sm 0.8368 0.5482 0.7170
Nd 0.5000 0.5000 0.5000
Sm 0.5482 0.7170 0.8368
Ac 0.4170 0.9186 0.6211
Sm 0.1632 0.4518 0.2830
Ac 0.1559 0.0963 0.7323
Sm 0.2830 0.1632 0.4518
Ac 0.5830 0.0814 0.3789
Nd 0.0000 0.0000 0.0000
Ac 0.7323 0.1559 0.0963
Ac 0.9186 0.6211 0.4170
Sm 0.4518 0.2830 0.1632
Ac 0.3789 0.5830 0.0814
Ac 0.6211 0.4170 0.9186
Ac 0.2677 0.8441 0.9037
Ac 0.8441 0.9037 0.2677
Ac 0.0814 0.3789 0.5830

***

19.
CaLa2CdCo | PBE | relaxed

Results
Relative energy among the computed polymorphs = 28 meV/atom
SG = No. 123
Energy of formation = -0.11 eV/atom

Cell lengths 5.2966, 5.2966, 5.3474 Å; angles 90.00, 90.00, 90.00 degrees
Element x y z (fractional)
La 0.5000 0.0000 0.0000
Ca 0.5000 0.5000 0.5000
La 0.0000 0.5000 0.0000
Co 0.0000 0.0000 0.0000
Cd 0.0000 0.0000 0.5000

***

20.
Ir2SeCl | PBE | relaxed

Results
Formation energy from raw total energies = 0.80 eV per atom
Relative energy among the computed polymorphs = 770 meV/atom
SG = No. 123

Cell lengths 3.1511, 3.1511, 6.8496 Å; angles 90.00, 90.00, 90.00 degrees
Element x y z (fractional)
Ir 0.0000 0.0000 0.0466
Ir 0.0000 0.0000 0.4534
Cl 0.5000 0.5000 0.7500
Se 0.5000 0.5000 0.2500

***

21.
KYSi2 | PBE | relaxed

Results
Formation energy from raw total energies = 0.13 eV per atom
Relative energy among the computed polymorphs = 380 meV/atom
SG = No. 139

Cell lengths 5.4483, 5.4483, 5.4483 Å; angles 130.20, 130.18, 73.11 degrees
Element x y z (fractional)
K 0.7500 0.2500 0.5000
Y 0.2500 0.7500 0.5000
Si 0.4999 0.4999 0.0000
Si 0.0001 0.0001 0.0000

***

22.
Ca3AlSi2Au9 | PBE | relaxed

Results
Formation energy from raw total energies = -0.40 eV per atom
SG = No. 164

Cell lengths 7.6016, 7.6016, 6.8072 Å; angles 90.00, 90.00, 120.00 degrees
Element x y z (fractional)
Au 0.6596 0.8298 0.3361
Au 0.3404 0.1702 0.6639
Au 0.8298 0.1702 0.6639
Ca 0.0000 0.0000 0.0000
Au 0.0000 0.5000 0.0000
Au 0.8298 0.6596 0.6639
Si 0.3333 0.6667 0.1596
Au 0.5000 0.0000 0.0000
Al 0.0000 0.0000 0.5000
Au 0.5000 0.5000 0.0000
Ca 0.3333 0.6667 0.6682
Ca 0.6667 0.3333 0.3318
Si 0.6667 0.3333 0.8404
Au 0.1702 0.8298 0.3361
Au 0.1702 0.3404 0.3361